# 1
# Hf3ZrAs4

Crystalline Hf3ZrAs4 at its relaxed geometry (PBE-GGA, Alexandria via LeMat-Bulk).

The total moment comes out at 0.00 μB/f.u. Its energy is -8.09 eV per atom. The calculated volume is 321 Å³/cell. Its space group is P2/c. The energy relative to the elements is -966 meV per atom.

abc: 6.6591 6.6625 7.6653
angles: 90.00 90.00 109.27
Fractional positions:
As1 0.0020 0.2515 0.6233
As2 0.4995 0.2532 0.8730
As3 0.5020 0.2515 0.3767
As4 0.9995 0.2532 0.1270
As5 0.0005 0.7468 0.8730
As6 0.4980 0.7485 0.6233
As7 0.5005 0.7468 0.1270
As8 0.9980 0.7485 0.3767
Hf1 0.7500 0.0000 0.3731
Hf2 0.2500 0.0000 0.6269
Hf3 0.7500 0.5000 0.6272
Hf4 0.7500 0.5000 0.1224
Hf5 0.2500 0.5000 0.3728
Hf6 0.2500 0.5000 0.8776
Zr1 0.7500 0.0000 0.8773
Zr2 0.2500 0.0000 0.1227



# 2
# CaPt2Br

Crystalline CaPt2Br at its relaxed geometry (PBE-GGA, Alexandria via LeMat-Bulk).

The total moment comes out at 0.00 μB/f.u. As for the energy above the most stable polymorph in this dataset: 0.798 eV/atom. The value obtained for the uncorrected formation energy is 0.074 eV/atom. Its energy is -3.87 eV per atom. The calculated volume is 80 Å³/cell. Its space group is R-3m.

abc: 9.2699 9.2699 9.2699
angles: 19.87 19.87 19.87
Fractional positions:
Ca1 0.7500 0.7500 0.7500
Br1 0.2500 0.2500 0.2500
Pt1 0.0004 0.0004 0.0004
Pt2 0.4996 0.4996 0.4996



# 3
# In2OsW

Crystalline In2OsW at its relaxed geometry (PBE-GGA, Alexandria via LeMat-Bulk).

The total moment comes out at 0.00 μB/f.u. As for the energy above the most stable polymorph in this dataset: 0.071 eV/atom. Its energy is -7.14 eV per atom. The calculated volume is 78 Å³/cell. Its space group is P4mm. The energy relative to the elements is 277 meV per atom.

abc: 3.0344 3.0344 8.5073
angles: 90.00 90.00 90.00
Fractional positions:
In1 0.0000 0.0000 0.9613
In2 0.5000 0.5000 0.2937
Os1 0.0000 0.0000 0.5358
W1 0.5000 0.5000 0.7092



# 4
# Ba5MgBi4

Crystalline Ba5MgBi4 at its relaxed geometry (PBE-GGA, Alexandria via LeMat-Bulk).

The total moment comes out at 0.00 μB/f.u. Its energy is -3.39 eV per atom. The calculated volume is 473 Å³/cell. Its space group is C2/m. The energy relative to the elements is -716 meV per atom.

abc: 5.1594 8.9336 15.3719
angles: 136.47 99.66 90.00
Fractional positions:
Ba1 0.8494 0.7365 0.6987
Ba2 0.8287 0.1875 0.6574
Ba3 0.1713 0.8125 0.3426
Ba4 0.5000 0.5000 0.0000
Ba5 0.1506 0.2635 0.3013
Mg1 0.5000 0.0000 0.0000
Bi1 0.3036 0.8705 0.6073
Bi2 0.9790 0.7371 0.9579
Bi3 0.6964 0.1295 0.3927
Bi4 0.0210 0.2629 0.0421



# 5
# YScBiAu2

Crystalline YScBiAu2 at its relaxed geometry (PBE-GGA, Alexandria via LeMat-Bulk).

The total moment comes out at 0.00 μB/f.u. Its energy is -4.08 eV per atom. The calculated volume is 159 Å³/cell. Its space group is P4/mmm. The energy relative to the elements is 561 meV per atom.

abc: 5.2450 5.7761 5.2450
angles: 90.00 90.00 90.00
Fractional positions:
Y1 0.0000 0.0000 0.0000
Sc1 0.0000 0.5000 0.0000
Au1 0.0000 0.0000 0.5000
Au2 0.5000 0.0000 0.0000
Bi1 0.5000 0.5000 0.5000



# 6
# Pa2Co6B

Crystalline Pa2Co6B at its relaxed geometry (PBE-GGA, Alexandria via LeMat-Bulk).

The total moment comes out at 0.48 μB/f.u. As for the energy above the most stable polymorph in this dataset: 0.000 eV/atom. Its energy is -8.06 eV per atom. The calculated volume is 116 Å³/cell. Its space group is Fm-3m. The energy relative to the elements is -466 meV per atom.

abc: 5.4717 5.4717 5.4715
angles: 59.99 59.99 60.00
Fractional positions:
Pa1 0.2500 0.2500 0.2499
Pa2 0.7500 0.7500 0.7501
Co1 0.2420 0.2420 0.7579
Co2 0.2420 0.7580 0.2420
Co3 0.7580 0.2420 0.7580
Co4 0.7580 0.2420 0.2420
Co5 0.2420 0.7580 0.7580
Co6 0.7580 0.7580 0.2421
B1 0.5000 0.5000 0.5000



# 7
# LaTaAl

Crystalline LaTaAl at its relaxed geometry (PBE-GGA, Alexandria via LeMat-Bulk).

The total moment comes out at 0.00 μB/f.u. As for the energy above the most stable polymorph in this dataset: 0.239 eV/atom. Its energy is -6.70 eV per atom. The calculated volume is 70 Å³/cell. Its space group is Imm2. The energy relative to the elements is 142 meV per atom.

abc: 6.0649 6.0649 6.0649
angles: 149.80 141.30 49.86
Fractional positions:
La1 0.6681 0.6681 0.0000
Al1 0.9652 0.9652 0.0000
Ta1 0.3667 0.3667 0.0000



# 8
# TlTcAu2

Crystalline TlTcAu2 at its relaxed geometry (PBE-GGA, Alexandria via LeMat-Bulk).

The total moment comes out at 0.00 μB/f.u. As for the energy above the most stable polymorph in this dataset: 0.032 eV/atom. Its energy is -4.39 eV per atom. The calculated volume is 74 Å³/cell. Its space group is Cmmm. The energy relative to the elements is 436 meV per atom.

abc: 5.2839 5.2839 2.9058
angles: 89.97 89.97 114.12
Fractional positions:
Au1 0.0000 0.0000 0.0000
Au2 0.5000 0.5000 0.0000
Tc1 0.5000 0.0000 0.5000
Tl1 0.0000 0.5000 0.5000



# 9
# BaAlI2N

Crystalline BaAlI2N at its relaxed geometry (PBE-GGA, Alexandria via LeMat-Bulk).

The total moment comes out at 0.00 μB/f.u. As for the energy above the most stable polymorph in this dataset: 0.000 eV/atom. The value obtained for the uncorrected formation energy is -0.618 eV/atom. Its energy is -4.04 eV per atom. The calculated volume is 138 Å³/cell. Its space group is P4/mmm.

abc: 6.1336 6.1336 3.6747
angles: 90.00 90.00 90.00
Fractional positions:
I1 0.0000 0.5000 0.0000
I2 0.5000 0.0000 0.0000
N1 0.0000 0.0000 0.5000
Ba1 0.5000 0.5000 0.5000
Al1 0.0000 0.0000 0.0000



# 10
# La2PmIn4

Crystalline La2PmIn4 at its relaxed geometry (PBE-GGA, Alexandria via LeMat-Bulk).

The total moment comes out at 0.00 μB/f.u. Its energy is -3.98 eV per atom. The calculated volume is 223 Å³/cell. Its space group is I4/mmm. The energy relative to the elements is -332 meV per atom.

abc: 5.4137 5.4137 8.5189
angles: 108.53 108.53 90.00
Fractional positions:
Pm1 0.0000 0.0000 0.0000
In1 0.3904 0.8904 0.7808
In2 0.8904 0.3904 0.7808
In3 0.6096 0.1096 0.2192
In4 0.1096 0.6096 0.2192
La1 0.7452 0.7452 0.4903
La2 0.2548 0.2548 0.5097



# 11
# BaLu2CuO5

Crystalline BaLu2CuO5 at its relaxed geometry (PBE-GGA, Alexandria via LeMat-Bulk).

The total moment comes out at 0.97 μB/f.u. The value obtained for the uncorrected formation energy is -2.740 eV/atom. Its energy is -7.17 eV per atom. The calculated volume is 481 Å³/cell. Its space group is Pnma.

abc: 5.6188 7.0959 12.0579
angles: 90.00 90.00 90.00
Fractional positions:
O1 0.9978 0.1584 0.4318
O2 0.4978 0.8416 0.5682
O3 0.0022 0.6584 0.0682
O4 0.5022 0.3416 0.9318
O5 0.0022 0.8416 0.5682
O6 0.5022 0.1584 0.4318
O7 0.9978 0.3416 0.9318
O8 0.4978 0.6584 0.0682
O9 0.5012 0.3602 0.2280
O10 0.0012 0.6398 0.7720
O11 0.4988 0.8602 0.2720
O12 0.9988 0.1398 0.7280
O13 0.4988 0.6398 0.7720
O14 0.9988 0.3602 0.2280
O15 0.5012 0.1398 0.7280
O16 0.0012 0.8602 0.2720
O17 0.2500 0.0900 0.1018
O18 0.7500 0.9100 0.8982
O19 0.7500 0.5900 0.3982
O20 0.2500 0.4100 0.6018
Lu1 0.2500 0.1147 0.2868
Lu2 0.7500 0.8853 0.7132
Lu3 0.7500 0.6147 0.2132
Lu4 0.2500 0.3853 0.7868
Lu5 0.2500 0.3980 0.0738
Lu6 0.7500 0.6020 0.9262
Lu7 0.7500 0.8980 0.4262
Lu8 0.2500 0.1020 0.5738
Ba1 0.2500 0.9298 0.9038
Ba2 0.7500 0.0702 0.0962
Ba3 0.7500 0.4298 0.5962
Ba4 0.2500 0.5702 0.4038
Cu1 0.2500 0.7177 0.6608
Cu2 0.7500 0.2823 0.3392
Cu3 0.7500 0.2177 0.8392
Cu4 0.2500 0.7823 0.1608



# 12
# NiMoW2

Crystalline NiMoW2 at its relaxed geometry (PBE-GGA, Alexandria via LeMat-Bulk).

The total moment comes out at 0.00 μB/f.u. As for the energy above the most stable polymorph in this dataset: 0.193 eV/atom. Its energy is -10.38 eV per atom. The calculated volume is 60 Å³/cell. Its space group is Pmmm. The energy relative to the elements is 253 meV per atom.

abc: 2.6441 4.0753 5.5927
angles: 90.00 90.00 90.00
Fractional positions:
Mo1 0.5000 0.5000 0.2500
Ni1 0.5000 0.5000 0.7500
W1 0.0000 0.0000 0.9888
W2 0.0000 0.0000 0.5112



> Number 9 is which compound?

BaAlI2N



> Number 4 is which compound?

Ba5MgBi4



> Which of these has the lowest energy?

NiMoW2